1.
Compound: YScAgRh
Source: Alexandria
Functional: PBE
Structure: optimized geometry

Computed properties:
formation enthalpy at 0 K	-558	meV/atom
density	7.036	g/cm³

```
data_YScAgRh
_symmetry_space_group_name_H-M 'P 1'
_symmetry_Int_Tables_number 1
_symmetry_space_group_name_Hall 'P 1'
_cell_length_a 6.8778
_cell_length_b 6.8778
_cell_length_c 6.8778
_cell_angle_alpha 90.00
_cell_angle_beta 90.00
_cell_angle_gamma 90.00
loop_
_atom_site_label
_atom_site_fract_x
_atom_site_fract_y
_atom_site_fract_z
Y1 0.0000 0.0000 0.0000
Y2 0.0000 0.5000 0.5000
Y3 0.5000 0.0000 0.5000
Y4 0.5000 0.5000 0.0000
Sc1 0.0000 0.0000 0.5000
Sc2 0.0000 0.5000 0.0000
Sc3 0.5000 0.0000 0.0000
Sc4 0.5000 0.5000 0.5000
Ag1 0.2500 0.2500 0.2500
Ag2 0.2500 0.7500 0.7500
Ag3 0.7500 0.2500 0.7500
Ag4 0.7500 0.7500 0.2500
Rh1 0.2500 0.2500 0.7500
Rh2 0.2500 0.7500 0.2500
Rh3 0.7500 0.2500 0.2500
Rh4 0.7500 0.7500 0.7500
```



2.
Compound: RbTaTiF2
Source: Alexandria
Functional: PBE
Structure: optimized geometry

Computed properties:
total energy	-5.35	eV per atom
density	5.753	g/cm³

```
data_RbTaTiF2
_symmetry_space_group_name_H-M 'P 1'
_symmetry_Int_Tables_number 1
_symmetry_space_group_name_Hall 'P 1'
_cell_length_a 4.4320
_cell_length_b 4.4320
_cell_length_c 5.1767
_cell_angle_alpha 90.00
_cell_angle_beta 90.00
_cell_angle_gamma 90.00
loop_
_atom_site_label
_atom_site_fract_x
_atom_site_fract_y
_atom_site_fract_z
Rb1 0.0000 0.0000 0.0000
Ta1 0.5000 0.5000 0.5000
Ti1 0.5000 0.5000 0.0000
F1 0.0000 0.5000 0.5000
F2 0.5000 0.0000 0.5000
```



3.
Compound: Zr2TiSe
Source: Alexandria
Functional: PBE
Structure: optimized geometry

Computed properties:
total energy	-7.57	eV per atom
density	6.124	g/cm³

```
data_Zr2TiSe
_symmetry_space_group_name_H-M 'P 1'
_symmetry_Int_Tables_number 1
_symmetry_space_group_name_Hall 'P 1'
_cell_length_a 3.3634
_cell_length_b 3.3634
_cell_length_c 25.6807
_cell_angle_alpha 90.00
_cell_angle_beta 90.00
_cell_angle_gamma 120.00
loop_
_atom_site_label
_atom_site_fract_x
_atom_site_fract_y
_atom_site_fract_z
Zr1 0.0000 0.0000 0.2434
Zr2 0.0000 0.0000 0.7566
Zr3 0.3333 0.6667 0.4232
Zr4 0.3333 0.6667 0.9101
Zr5 0.6667 0.3333 0.0899
Zr6 0.6667 0.3333 0.5768
Ti1 0.0000 0.0000 0.0000
Ti2 0.3333 0.6667 0.6667
Ti3 0.6667 0.3333 0.3333
Se1 0.0000 0.0000 0.5000
Se2 0.3333 0.6667 0.1667
Se3 0.6667 0.3333 0.8333
```



Listing total magnetic moment for the structures above in their given order: 0.0; 2.0; 0.0 μB per cell.